Entry 1:
AcAs2Ru2 (PBE, relaxed); energy of formation = -72 kJ/mol of atoms; space-group type = I4/mmm (139)
1.0
-2.1141 2.1141 5.6846
2.1141 -2.1141 5.6846
2.1141 2.1141 -5.6846
Ac As Ru
1 2 2
Cartesian
0.0000 0.0000 0.0000 Ac
0.0000 0.0000 4.0825 As
0.0000 0.0000 7.2867 As
2.1141 0.0000 2.8423 Ru
0.0000 2.1141 2.8423 Ru

Entry 2:
VCrW (PBE, relaxed); energy of formation = -3 kJ/mol of atoms; space-group type = P3m1 (156)
1.0
4.2254 0.0000 0.0000
-2.1127 3.6593 0.0000
0.0000 0.0000 2.6732
V Cr W
1 1 1
Cartesian
0.0000 0.0000 0.0000 V
2.1127 1.2198 0.8733 Cr
0.0000 2.4395 1.7470 W

Entry 3:
TiNb2Tl (PBE, relaxed); energy of formation = 35 kJ/mol of atoms; space-group type = Fm-3m (225)
1.0
0.0000 3.3617 3.3617
3.3617 0.0000 3.3617
3.3617 3.3617 0.0000
Ti Nb Tl
1 2 1
Cartesian
0.0000 0.0000 0.0000 Ti
1.6809 1.6809 1.6809 Nb
5.0426 5.0426 5.0426 Nb
3.3617 3.3617 3.3617 Tl

Entry 4:
GePd3Au (PBE, relaxed); energy of formation = 23 kJ/mol of atoms; space-group type = Pm-3m (221)
1.0
4.6108 0.0000 0.0000
0.0000 4.6108 0.0000
0.0000 0.0000 4.6108
Ge Pd Au
1 3 1
Cartesian
0.0000 0.0000 0.0000 Ge
0.0000 0.0000 2.3054 Pd
0.0000 2.3054 0.0000 Pd
2.3054 0.0000 0.0000 Pd
2.3054 2.3054 2.3054 Au

> What is the formula in the first record?

AcAs2Ru2

Copy entry 1 word for word.
AcAs2Ru2 (PBE, relaxed); energy of formation = -72 kJ/mol of atoms; space-group type = I4/mmm (139)
1.0
-2.1141 2.1141 5.6846
2.1141 -2.1141 5.6846
2.1141 2.1141 -5.6846
Ac As Ru
1 2 2
Cartesian
0.0000 0.0000 0.0000 Ac
0.0000 0.0000 4.0825 As
0.0000 0.0000 7.2867 As
2.1141 0.0000 2.8423 Ru
0.0000 2.1141 2.8423 Ru

> What is the energy of formation in the third record?

35 kJ/mol of atoms

> The lowest energy of formation belongs to which entry?

AcAs2Ru2